# InRe4Mo GGA-PBE relaxed
data_InRe4Mo
_chemical_formula_sum 'In1 Re4 Mo1'
_symmetry_space_group_name_H-M 'P 1'
_symmetry_Int_Tables_number 1
_cell_length_a 5.214
_cell_length_b 5.214
_cell_length_c 5.214
_cell_angle_alpha 60.00
_cell_angle_beta 60.00
_cell_angle_gamma 60.00
loop_
_symmetry_equiv_pos_as_xyz
'x,y,z'
loop_
_atom_site_label
_atom_site_type_symbol
_atom_site_fract_x
_atom_site_fract_y
_atom_site_fract_z
In1 In 0.000 0.000 0.000
Re1 Re 0.374 0.374 0.374
Re2 Re 0.374 0.374 0.877
Re3 Re 0.374 0.877 0.374
Re4 Re 0.877 0.374 0.374
Mo1 Mo 0.750 0.750 0.750
# E_form, eV/atom: 0.400



# KScFe4 GGA-PBE relaxed
data_KScFe4
_chemical_formula_sum 'K1 Sc1 Fe4'
_symmetry_space_group_name_H-M 'P 1'
_symmetry_Int_Tables_number 1
_cell_length_a 5.154
_cell_length_b 5.154
_cell_length_c 5.154
_cell_angle_alpha 60.00
_cell_angle_beta 60.00
_cell_angle_gamma 60.00
loop_
_symmetry_equiv_pos_as_xyz
'x,y,z'
loop_
_atom_site_label
_atom_site_type_symbol
_atom_site_fract_x
_atom_site_fract_y
_atom_site_fract_z
K1 K 0.000 0.000 0.000
Sc1 Sc 0.750 0.750 0.750
Fe1 Fe 0.379 0.379 0.379
Fe2 Fe 0.379 0.379 0.864
Fe3 Fe 0.379 0.864 0.379
Fe4 Fe 0.864 0.379 0.379
# E_form, eV/atom: 0.577



# InNiMo GGA-PBE relaxed
data_InNiMo
_chemical_formula_sum 'In1 Ni1 Mo1'
_symmetry_space_group_name_H-M 'P 1'
_symmetry_Int_Tables_number 1
_cell_length_a 2.897
_cell_length_b 2.897
_cell_length_c 6.678
_cell_angle_alpha 90.00
_cell_angle_beta 90.00
_cell_angle_gamma 120.00
loop_
_symmetry_equiv_pos_as_xyz
'x,y,z'
loop_
_atom_site_label
_atom_site_type_symbol
_atom_site_fract_x
_atom_site_fract_y
_atom_site_fract_z
In1 In 0.000 0.000 0.000
Ni1 Ni 0.333 0.667 0.668
Mo1 Mo 0.667 0.333 0.373
# E_form, eV/atom: 0.314



# SrGe2 GGA-PBE relaxed
data_SrGe2
_chemical_formula_sum 'Sr2 Ge4'
_symmetry_space_group_name_H-M 'P 1'
_symmetry_Int_Tables_number 1
_cell_length_a 3.932
_cell_length_b 3.962
_cell_length_c 10.384
_cell_angle_alpha 90.00
_cell_angle_beta 100.79
_cell_angle_gamma 90.00
loop_
_symmetry_equiv_pos_as_xyz
'x,y,z'
loop_
_atom_site_label
_atom_site_type_symbol
_atom_site_fract_x
_atom_site_fract_y
_atom_site_fract_z
Sr1 Sr 0.115 0.250 0.227
Sr2 Sr 0.885 0.750 0.773
Ge1 Ge 0.249 0.750 0.500
Ge2 Ge 0.456 0.250 0.928
Ge3 Ge 0.544 0.750 0.072
Ge4 Ge 0.751 0.250 0.500
# E_form, eV/atom: -0.310



# RbCdPb2 GGA-PBE relaxed
data_RbCdPb2
_chemical_formula_sum 'Rb3 Cd3 Pb6'
_symmetry_space_group_name_H-M 'P 1'
_symmetry_Int_Tables_number 1
_cell_length_a 5.041
_cell_length_b 5.041
_cell_length_c 21.066
_cell_angle_alpha 90.00
_cell_angle_beta 90.00
_cell_angle_gamma 120.00
loop_
_symmetry_equiv_pos_as_xyz
'x,y,z'
loop_
_atom_site_label
_atom_site_type_symbol
_atom_site_fract_x
_atom_site_fract_y
_atom_site_fract_z
Rb1 Rb 0.000 0.000 0.000
Rb2 Rb 0.333 0.667 0.667
Rb3 Rb 0.667 0.333 0.333
Cd1 Cd 0.000 0.000 0.500
Cd2 Cd 0.333 0.667 0.167
Cd3 Cd 0.667 0.333 0.833
Pb1 Pb 0.000 0.000 0.214
Pb2 Pb 0.000 0.000 0.786
Pb3 Pb 0.333 0.667 0.452
Pb4 Pb 0.333 0.667 0.881
Pb5 Pb 0.667 0.333 0.119
Pb6 Pb 0.667 0.333 0.548
# E_form, eV/atom: -0.050



# TaInTc GGA-PBE relaxed
data_TaInTc
_chemical_formula_sum 'Ta4 In4 Tc4'
_symmetry_space_group_name_H-M 'P 1'
_symmetry_Int_Tables_number 1
_cell_length_a 3.238
_cell_length_b 4.961
_cell_length_c 13.788
_cell_angle_alpha 90.00
_cell_angle_beta 90.00
_cell_angle_gamma 90.00
loop_
_symmetry_equiv_pos_as_xyz
'x,y,z'
loop_
_atom_site_label
_atom_site_type_symbol
_atom_site_fract_x
_atom_site_fract_y
_atom_site_fract_z
Ta1 Ta 0.000 0.000 0.000
Ta2 Ta 0.000 0.500 0.500
Ta3 Ta 0.500 0.000 0.500
Ta4 Ta 0.500 0.500 0.000
In1 In 0.000 0.000 0.685
In2 In 0.000 0.500 0.185
In3 In 0.500 0.000 0.185
In4 In 0.500 0.500 0.685
Tc1 Tc 0.000 0.000 0.356
Tc2 Tc 0.000 0.500 0.856
Tc3 Tc 0.500 0.000 0.856
Tc4 Tc 0.500 0.500 0.356
# E_form, eV/atom: 0.154



# Al2SnPd2 GGA-PBE relaxed
data_Al2SnPd2
_chemical_formula_sum 'Al4 Sn2 Pd4'
_symmetry_space_group_name_H-M 'P 1'
_symmetry_Int_Tables_number 1
_cell_length_a 4.104
_cell_length_b 4.104
_cell_length_c 11.095
_cell_angle_alpha 90.00
_cell_angle_beta 90.00
_cell_angle_gamma 90.00
loop_
_symmetry_equiv_pos_as_xyz
'x,y,z'
loop_
_atom_site_label
_atom_site_type_symbol
_atom_site_fract_x
_atom_site_fract_y
_atom_site_fract_z
Al1 Al 0.000 0.000 0.118
Al2 Al 0.000 0.000 0.882
Al3 Al 0.500 0.500 0.382
Al4 Al 0.500 0.500 0.618
Sn1 Sn 0.000 0.000 0.500
Sn2 Sn 0.500 0.500 0.000
Pd1 Pd 0.000 0.500 0.250
Pd2 Pd 0.000 0.500 0.750
Pd3 Pd 0.500 0.000 0.250
Pd4 Pd 0.500 0.000 0.750
# E_form, eV/atom: -0.386



# AlGe GGA-PBE relaxed
data_AlGe
_chemical_formula_sum 'Al6 Ge6'
_symmetry_space_group_name_H-M 'P 1'
_symmetry_Int_Tables_number 1
_cell_length_a 8.961
_cell_length_b 8.961
_cell_length_c 4.503
_cell_angle_alpha 90.00
_cell_angle_beta 90.00
_cell_angle_gamma 120.00
loop_
_symmetry_equiv_pos_as_xyz
'x,y,z'
loop_
_atom_site_label
_atom_site_type_symbol
_atom_site_fract_x
_atom_site_fract_y
_atom_site_fract_z
Al1 Al 0.169 0.470 0.250
Al2 Al 0.301 0.831 0.250
Al3 Al 0.470 0.301 0.750
Al4 Al 0.530 0.699 0.250
Al5 Al 0.699 0.169 0.750
Al6 Al 0.831 0.530 0.750
Ge1 Ge 0.021 0.369 0.750
Ge2 Ge 0.348 0.979 0.750
Ge3 Ge 0.369 0.348 0.250
Ge4 Ge 0.631 0.652 0.750
Ge5 Ge 0.652 0.021 0.250
Ge6 Ge 0.979 0.631 0.250
# E_form, eV/atom: 0.276



# Sm2Ge4RuRh3 GGA-PBE relaxed
data_Sm2Ge4RuRh3
_chemical_formula_sum 'Sm2 Ge4 Ru1 Rh3'
_symmetry_space_group_name_H-M 'P 1'
_symmetry_Int_Tables_number 1
_cell_length_a 4.309
_cell_length_b 4.309
_cell_length_c 9.835
_cell_angle_alpha 90.00
_cell_angle_beta 90.00
_cell_angle_gamma 90.00
loop_
_symmetry_equiv_pos_as_xyz
'x,y,z'
loop_
_atom_site_label
_atom_site_type_symbol
_atom_site_fract_x
_atom_site_fract_y
_atom_site_fract_z
Sm1 Sm 0.000 0.500 0.249
Sm2 Sm 0.500 0.000 0.751
Ge1 Ge 0.000 0.000 0.000
Ge2 Ge 0.000 0.500 0.626
Ge3 Ge 0.500 0.000 0.374
Ge4 Ge 0.500 0.500 0.000
Ru1 Ru 0.000 0.000 0.500
Rh1 Rh 0.000 0.500 0.875
Rh2 Rh 0.500 0.000 0.125
Rh3 Rh 0.500 0.500 0.500
# E_form, eV/atom: -0.816



# Th2AlCu4 GGA-PBE relaxed
data_Th2AlCu4
_chemical_formula_sum 'Th4 Al2 Cu8'
_symmetry_space_group_name_H-M 'P 1'
_symmetry_Int_Tables_number 1
_cell_length_a 4.434
_cell_length_b 4.434
_cell_length_c 15.153
_cell_angle_alpha 90.00
_cell_angle_beta 90.00
_cell_angle_gamma 90.00
loop_
_symmetry_equiv_pos_as_xyz
'x,y,z'
loop_
_atom_site_label
_atom_site_type_symbol
_atom_site_fract_x
_atom_site_fract_y
_atom_site_fract_z
Th1 Th 0.000 0.000 0.147
Th2 Th 0.000 0.000 0.853
Th3 Th 0.500 0.500 0.353
Th4 Th 0.500 0.500 0.647
Al1 Al 0.000 0.000 0.500
Al2 Al 0.500 0.500 0.000
Cu1 Cu 0.000 0.000 0.340
Cu2 Cu 0.000 0.000 0.660
Cu3 Cu 0.000 0.500 0.000
Cu4 Cu 0.000 0.500 0.500
Cu5 Cu 0.500 0.000 0.000
Cu6 Cu 0.500 0.000 0.500
Cu7 Cu 0.500 0.500 0.160
Cu8 Cu 0.500 0.500 0.840
# E_form, eV/atom: 0.172



# SrPb7 GGA-PBE relaxed
data_SrPb7
_chemical_formula_sum 'Sr1 Pb7'
_symmetry_space_group_name_H-M 'P 1'
_symmetry_Int_Tables_number 1
_cell_length_a 7.127
_cell_length_b 7.127
_cell_length_c 7.127
_cell_angle_alpha 60.00
_cell_angle_beta 60.00
_cell_angle_gamma 60.00
loop_
_symmetry_equiv_pos_as_xyz
'x,y,z'
loop_
_atom_site_label
_atom_site_type_symbol
_atom_site_fract_x
_atom_site_fract_y
_atom_site_fract_z
Sr1 Sr 0.000 0.000 0.000
Pb1 Pb 0.000 0.000 0.500
Pb2 Pb 0.000 0.500 0.000
Pb3 Pb 0.000 0.500 0.500
Pb4 Pb 0.500 0.000 0.000
Pb5 Pb 0.500 0.000 0.500
Pb6 Pb 0.500 0.500 0.000
Pb7 Pb 0.500 0.500 0.500
# E_form, eV/atom: -0.139



# RbCdP2S GGA-PBE relaxed
data_RbCdP2S
_chemical_formula_sum 'Rb1 Cd1 P2 S1'
_symmetry_space_group_name_H-M 'P 1'
_symmetry_Int_Tables_number 1
_cell_length_a 5.113
_cell_length_b 5.113
_cell_length_c 5.352
_cell_angle_alpha 90.00
_cell_angle_beta 90.00
_cell_angle_gamma 90.00
loop_
_symmetry_equiv_pos_as_xyz
'x,y,z'
loop_
_atom_site_label
_atom_site_type_symbol
_atom_site_fract_x
_atom_site_fract_y
_atom_site_fract_z
Rb1 Rb 0.000 0.000 0.000
Cd1 Cd 0.500 0.500 0.500
P1 P 0.000 0.500 0.500
P2 P 0.500 0.000 0.500
S1 S 0.500 0.500 0.000
# Formation energy without anion corrections, eV per atom: 0.5137



# CaCoC GGA-PBE relaxed
data_CaCoC
_chemical_formula_sum 'Ca4 Co4 C4'
_symmetry_space_group_name_H-M 'P 1'
_symmetry_Int_Tables_number 1
_cell_length_a 7.874
_cell_length_b 6.870
_cell_length_c 3.520
_cell_angle_alpha 90.00
_cell_angle_beta 90.27
_cell_angle_gamma 90.00
loop_
_symmetry_equiv_pos_as_xyz
'x,y,z'
loop_
_atom_site_label
_atom_site_type_symbol
_atom_site_fract_x
_atom_site_fract_y
_atom_site_fract_z
Ca1 Ca 0.224 0.000 0.496
Ca2 Ca 0.276 0.500 0.504
Ca3 Ca 0.724 0.500 0.496
Ca4 Ca 0.776 0.000 0.504
Co1 Co 0.000 0.331 0.000
Co2 Co 0.000 0.669 0.000
Co3 Co 0.500 0.169 0.000
Co4 Co 0.500 0.831 0.000
C1 C 0.000 0.281 0.500
C2 C 0.000 0.719 0.500
C3 C 0.500 0.219 0.500
C4 C 0.500 0.781 0.500
# E_form, eV/atom: 0.114



# MnPICl2 GGA-PBE relaxed
data_MnPICl2
_chemical_formula_sum 'Mn1 P1 I1 Cl2'
_symmetry_space_group_name_H-M 'P 1'
_symmetry_Int_Tables_number 1
_cell_length_a 4.519
_cell_length_b 4.519
_cell_length_c 4.985
_cell_angle_alpha 90.00
_cell_angle_beta 90.00
_cell_angle_gamma 90.00
loop_
_symmetry_equiv_pos_as_xyz
'x,y,z'
loop_
_atom_site_label
_atom_site_type_symbol
_atom_site_fract_x
_atom_site_fract_y
_atom_site_fract_z
Mn1 Mn 0.000 0.000 0.000
P1 P 0.000 0.000 0.500
I1 I 0.500 0.500 0.500
Cl1 Cl 0.000 0.500 0.000
Cl2 Cl 0.500 0.000 0.000
# Formation energy without anion corrections, eV per atom: 0.1937



# RbLiY2Br8 GGA-PBE relaxed
data_RbLiY2Br8
_chemical_formula_sum 'Rb1 Li1 Y2 Br8'
_symmetry_space_group_name_H-M 'P 1'
_symmetry_Int_Tables_number 1
_cell_length_a 7.066
_cell_length_b 8.721
_cell_length_c 7.268
_cell_angle_alpha 90.00
_cell_angle_beta 98.79
_cell_angle_gamma 90.00
loop_
_symmetry_equiv_pos_as_xyz
'x,y,z'
loop_
_atom_site_label
_atom_site_type_symbol
_atom_site_fract_x
_atom_site_fract_y
_atom_site_fract_z
Rb1 Rb 0.000 0.000 0.000
Li1 Li 0.000 0.500 0.000
Y1 Y 0.500 0.259 0.500
Y2 Y 0.500 0.741 0.500
Br1 Br 0.258 0.288 0.165
Br2 Br 0.258 0.712 0.165
Br3 Br 0.280 0.500 0.632
Br4 Br 0.293 0.000 0.622
Br5 Br 0.707 0.000 0.378
Br6 Br 0.720 0.500 0.368
Br7 Br 0.742 0.288 0.835
Br8 Br 0.742 0.712 0.835
# Formation energy without anion corrections, eV per atom: -1.7521



# Rb2TiCl6F GGA-PBE relaxed
data_Rb2TiCl6F
_chemical_formula_sum 'Rb2 Ti1 Cl6 F1'
_symmetry_space_group_name_H-M 'P 1'
_symmetry_Int_Tables_number 1
_cell_length_a 7.145
_cell_length_b 7.145
_cell_length_c 7.145
_cell_angle_alpha 113.89
_cell_angle_beta 113.89
_cell_angle_gamma 100.96
loop_
_symmetry_equiv_pos_as_xyz
'x,y,z'
loop_
_atom_site_label
_atom_site_type_symbol
_atom_site_fract_x
_atom_site_fract_y
_atom_site_fract_z
Rb1 Rb 0.250 0.750 0.500
Rb2 Rb 0.750 0.250 0.500
Ti1 Ti 0.000 0.000 0.000
Cl1 Cl 0.215 0.215 0.429
Cl2 Cl 0.215 0.785 0.000
Cl3 Cl 0.256 0.256 0.000
Cl4 Cl 0.744 0.744 0.000
Cl5 Cl 0.785 0.215 0.000
Cl6 Cl 0.785 0.785 0.571
F1 F 0.500 0.500 0.000
# Formation energy without anion corrections, eV per atom: -1.5590



# Ca2TlAs3Pd4 GGA-PBE relaxed
data_Ca2TlAs3Pd4
_chemical_formula_sum 'Ca2 Tl1 As3 Pd4'
_symmetry_space_group_name_H-M 'P 1'
_symmetry_Int_Tables_number 1
_cell_length_a 4.301
_cell_length_b 4.301
_cell_length_c 11.043
_cell_angle_alpha 90.00
_cell_angle_beta 90.00
_cell_angle_gamma 90.00
loop_
_symmetry_equiv_pos_as_xyz
'x,y,z'
loop_
_atom_site_label
_atom_site_type_symbol
_atom_site_fract_x
_atom_site_fract_y
_atom_site_fract_z
Ca1 Ca 0.000 0.500 0.231
Ca2 Ca 0.500 0.000 0.769
Tl1 Tl 0.000 0.000 0.500
As1 As 0.000 0.500 0.873
As2 As 0.500 0.000 0.127
As3 As 0.500 0.500 0.500
Pd1 Pd 0.000 0.000 0.000
Pd2 Pd 0.000 0.500 0.654
Pd3 Pd 0.500 0.000 0.346
Pd4 Pd 0.500 0.500 0.000
# E_form, eV/atom: -0.638



# Zn2ReCl GGA-PBE relaxed
data_Zn2ReCl
_chemical_formula_sum 'Zn4 Re2 Cl2'
_symmetry_space_group_name_H-M 'P 1'
_symmetry_Int_Tables_number 1
_cell_length_a 2.702
_cell_length_b 4.260
_cell_length_c 12.046
_cell_angle_alpha 90.00
_cell_angle_beta 90.00
_cell_angle_gamma 90.00
loop_
_symmetry_equiv_pos_as_xyz
'x,y,z'
loop_
_atom_site_label
_atom_site_type_symbol
_atom_site_fract_x
_atom_site_fract_y
_atom_site_fract_z
Zn1 Zn 0.000 0.000 0.200
Zn2 Zn 0.000 0.000 0.800
Zn3 Zn 0.500 0.500 0.300
Zn4 Zn 0.500 0.500 0.700
Re1 Re 0.000 0.500 0.500
Re2 Re 0.500 0.000 0.000
Cl1 Cl 0.000 0.500 0.000
Cl2 Cl 0.500 0.000 0.500
# Formation energy without anion corrections, eV per atom: 0.6086



# TbPm6Nd2Dy GGA-PBE relaxed
data_TbPm6Nd2Dy
_chemical_formula_sum 'Tb2 Pm12 Nd4 Dy2'
_symmetry_space_group_name_H-M 'P 1'
_symmetry_Int_Tables_number 1
_cell_length_a 8.948
_cell_length_b 8.948
_cell_length_c 9.844
_cell_angle_alpha 94.42
_cell_angle_beta 94.42
_cell_angle_gamma 118.17
loop_
_symmetry_equiv_pos_as_xyz
'x,y,z'
loop_
_atom_site_label
_atom_site_type_symbol
_atom_site_fract_x
_atom_site_fract_y
_atom_site_fract_z
Tb1 Tb 0.020 0.980 0.750
Tb2 Tb 0.980 0.020 0.250
Pm1 Pm 0.018 0.574 0.689
Pm2 Pm 0.123 0.751 0.055
Pm3 Pm 0.249 0.877 0.445
Pm4 Pm 0.292 0.502 0.880
Pm5 Pm 0.426 0.982 0.811
Pm6 Pm 0.498 0.708 0.620
Pm7 Pm 0.502 0.292 0.380
Pm8 Pm 0.574 0.018 0.189
Pm9 Pm 0.708 0.498 0.120
Pm10 Pm 0.751 0.123 0.555
Pm11 Pm 0.877 0.249 0.945
Pm12 Pm 0.982 0.426 0.311
Nd1 Nd 0.195 0.296 0.542
Nd2 Nd 0.296 0.195 0.042
Nd3 Nd 0.704 0.805 0.958
Nd4 Nd 0.805 0.704 0.458
Dy1 Dy 0.408 0.592 0.250
Dy2 Dy 0.592 0.408 0.750
# E_form, eV/atom: 0.115



# BaCd2Mo GGA-PBE relaxed
data_BaCd2Mo
_chemical_formula_sum 'Ba1 Cd2 Mo1'
_symmetry_space_group_name_H-M 'P 1'
_symmetry_Int_Tables_number 1
_cell_length_a 3.175
_cell_length_b 3.175
_cell_length_c 9.467
_cell_angle_alpha 90.00
_cell_angle_beta 90.00
_cell_angle_gamma 90.00
loop_
_symmetry_equiv_pos_as_xyz
'x,y,z'
loop_
_atom_site_label
_atom_site_type_symbol
_atom_site_fract_x
_atom_site_fract_y
_atom_site_fract_z
Ba1 Ba 0.000 0.000 0.000
Cd1 Cd 0.500 0.500 0.297
Cd2 Cd 0.500 0.500 0.703
Mo1 Mo 0.000 0.000 0.500
# E_form, eV/atom: 0.471



| no. | DFT total energy (eV/f.u.) | spin magnetization (μB per formula unit) |
| --- | --- | --- |
| 1 | -60.96 | 0.0 |
| 2 | -37.82 | 8.4 |
| 3 | -18.41 | 0.0 |
| 4 | -11.85 | 0.0 |
| 5 | -9.50 | 0.0 |
| 6 | -24.49 | 0.0 |
| 7 | -23.80 | 0.0 |
| 8 | -7.81 | 0.0 |
| 9 | -67.40 | 0.0 |
| 10 | -33.76 | 0.0 |
| 11 | -28.75 | 0.0 |
| 12 | -14.26 | 1.6 |
| 13 | -17.99 | 0.2 |
| 14 | -18.85 | 0.0 |
| 15 | -50.22 | 0.0 |
| 16 | -38.37 | 0.0 |
| 17 | -47.47 | 0.0 |
| 18 | -14.41 | 0.0 |
| 19 | -46.12 | 0.0 |
| 20 | -12.70 | 0.0 |